A plane-wave DFT calculation with PBE was carried out for a relaxed Nd4Te4I3 crystal.

Geometry as CIF:
```
data_Nd4Te4I3
_symmetry_space_group_name_H-M 'P 1'
_symmetry_Int_Tables_number 1
_cell_length_a 4.4682
_cell_length_b 8.9186
_cell_length_c 10.7974
_cell_angle_alpha 114.39
_cell_angle_beta 101.94
_cell_angle_gamma 90.00
loop_
_symmetry_equiv_pos_as_xyz
'x,y,z'
loop_
_atom_site_label
_atom_site_type_symbol
_atom_site_fract_x
_atom_site_fract_y
_atom_site_fract_z
Nd1 Nd 0.2302 0.7302 0.4605
Nd2 Nd 0.7698 0.2698 0.5395
Nd3 Nd 0.5000 0.7884 0.0000
Nd4 Nd 0.5000 0.2116 0.0000
Te1 Te 0.3352 0.1227 0.6704
Te2 Te 0.6648 0.4524 0.3296
Te3 Te 0.6648 0.8773 0.3296
Te4 Te 0.3352 0.5476 0.6704
I1 I 0.0881 0.0881 0.1762
I2 I 0.9119 0.9119 0.8238
I3 I 0.0000 0.5000 0.0000
```

For the total DFT energy (no corrections), the calculation gives -50.1 eV for the cell shown. For the total magnetic moment, the calculation gives 0.000 μB/f.u. For the formation energy from raw total energies, the calculation gives -1.25 eV/atom.